No. 1
The following is a DFT calculation (meta-GGA SCAN) of Ce2InPd2 at its PBEsol-relaxed geometry.

abc: 7.669 7.669 3.741
angles: 90.00 90.00 90.00
Space group P4/mbm (No. 127)
Inequivalent atoms, fractional coordinates:
Ce: 0.174 0.326 0.000 (multiplicity 4)
In: 0.000 0.000 0.500 (multiplicity 2)
Pd: 0.130 0.630 0.500 (multiplicity 4)

---

No. 2
The following is a DFT calculation (meta-GGA SCAN) of Ce2In8Pd at its PBEsol-relaxed geometry.

abc: 4.639 4.639 12.014
angles: 90.00 90.00 90.00
Space group P4/mmm (No. 123)
Inequivalent atoms, fractional coordinates:
Ce: 0.000 0.000 0.191 (multiplicity 2)
In: 0.000 0.500 0.000 (multiplicity 2)
In: 0.000 0.500 0.375 (multiplicity 4)
In: 0.500 0.500 0.190 (multiplicity 2)
Pd: 0.000 0.000 0.500 (multiplicity 1)

---

Volume per entry: 220.0; 258.5 Å³/cell
Energy per entry: -38.42; -35.89 eV per atom